No. 1
The following is a DFT calculation (PBE) of an optimized crystal structure of Ta2S4I.

Properties
final energy	-93.59	eV/cell
density	5.92	g cm⁻³

Cell lengths 8.691, 6.306, 8.197 Å; angles 126.25, 105.94, 85.88 degrees
Fractional positions:
Ta: 0.655 0.479 0.810
Ta: 0.611 0.938 0.278
Ta: 0.506 0.247 0.097
Ta: 0.209 0.463 0.855
S: 0.744 0.986 0.062
S: 0.376 0.708 0.233
S: 0.958 0.580 0.881
S: 0.748 0.036 0.612
S: 0.580 0.415 0.464
S: 0.428 0.172 0.747
S: 0.428 0.753 0.894
S: 0.743 0.526 0.148
I: 0.115 0.304 0.454
I: 0.149 0.141 0.965

***

No. 2
The following is a DFT calculation (PBE) of an optimized crystal structure of TaS3I.

Properties
polymorph energy (0 for the lowest one)	1685	meV/atom
density	5.37	g cm⁻³

Cell lengths 4.999, 4.999, 4.999 Å; angles 90.00, 90.00, 90.00 degrees
Site moments in Bohr magnetons follow the coordinates.
Fractional positions:
I: 0.000 0.000 0.000  0.01
S: 0.000 0.500 0.000  -0.12
S: 0.000 0.000 0.500  -0.09
S: 0.500 0.000 0.000  -0.08
Ta: 0.500 0.500 0.500  2.02

***

No. 3
The following is a DFT calculation (PBE) of an optimized crystal structure of Ta3SI.

Properties
polymorph energy (0 for the lowest one)	0	meV/atom
density	11.49	g cm⁻³

Cell lengths 4.664, 4.664, 4.664 Å; angles 90.00, 90.00, 90.00 degrees
Fractional positions:
I: 0.500 0.500 0.500
S: 0.000 0.000 0.000
Ta: 0.000 0.500 0.000
Ta: 0.000 0.000 0.500
Ta: 0.500 0.000 0.000

***

No. 4
The following is a DFT calculation (PBE) of an optimized crystal structure of Ta2SI8.

Properties
final energy	-45.08	eV/cell
density	3.65	g cm⁻³

Cell lengths 7.965, 10.066, 10.066 Å; angles 58.00, 72.16, 72.16 degrees
Fractional positions:
Ta: 0.227 0.876 0.876
Ta: 0.773 0.124 0.124
S: 0.000 0.000 0.000
I: 0.787 0.836 0.396
I: 0.213 0.604 0.164
I: 0.570 0.861 0.861
I: 0.430 0.139 0.139
I: 0.787 0.396 0.836
I: 0.213 0.164 0.604
I: 0.161 0.738 0.738
I: 0.839 0.262 0.262

***

No. 5
The following is a DFT calculation (PBE) of an optimized crystal structure of TaS3I.

Properties
polymorph energy (0 for the lowest one)	0	meV/atom
density	5.92	g cm⁻³

Cell lengths 4.840, 4.840, 4.840 Å; angles 90.00, 90.00, 90.00 degrees
Fractional positions:
I: 0.500 0.500 0.500
S: 0.000 0.500 0.000
S: 0.000 0.000 0.500
S: 0.500 0.000 0.000
Ta: 0.000 0.000 0.000

***

No. 6
The following is a DFT calculation (PBE) of an optimized crystal structure of TaS2I.

Properties
polymorph energy (0 for the lowest one)	3	meV/atom
density	5.71	g cm⁻³

Cell lengths 3.422, 5.793, 11.097 Å; angles 100.51, 89.68, 90.69 degrees
Fractional positions:
Ta: 0.277 0.843 0.552
Ta: 0.777 0.343 0.552
S: 0.777 0.629 0.411
S: 0.277 0.129 0.411
S: 0.278 0.557 0.692
S: 0.778 0.057 0.692
I: 0.779 0.843 0.051
I: 0.279 0.343 0.051

***

No. 7
The following is a DFT calculation (PBE) of an optimized crystal structure of TaS2I.

Properties
polymorph energy (0 for the lowest one)	4	meV/atom
density	5.33	g cm⁻³

Cell lengths 11.838, 11.838, 11.838 Å; angles 16.44, 16.44, 16.44 degrees
Fractional positions:
I: 0.000 0.000 0.000
S: 0.877 0.877 0.877
S: 0.123 0.123 0.123
Ta: 0.500 0.500 0.500

***

No. 8
The following is a DFT calculation (PBE) of an optimized crystal structure of TaV2SI.

Properties
final energy	-26.17	eV/cell
density	6.05	g cm⁻³

Cell lengths 4.871, 5.112, 4.871 Å; angles 90.00, 90.00, 90.00 degrees
Site moments in Bohr magnetons follow the coordinates.
Fractional positions:
I: 0.000 0.000 0.000  -0.02
S: 0.500 0.500 0.500  -0.03
V: 0.000 0.000 0.500  2.02
V: 0.500 0.000 0.000  1.99
Ta: 0.000 0.500 0.000  -1.02

***

No. 9
The following is a DFT calculation (PBE) of an optimized crystal structure of Ta2VSI.

Properties
final energy	-35.27	eV/cell
density	9.89	g cm⁻³

Cell lengths 4.686, 4.374, 4.686 Å; angles 90.00, 90.00, 90.00 degrees
Fractional positions:
I: 0.500 0.500 0.500
S: 0.000 0.000 0.000
V: 0.000 0.500 0.000
Ta: 0.000 0.000 0.500
Ta: 0.500 0.000 0.000

***

No. 10
The following is a DFT calculation (PBE) of an optimized crystal structure of TaZn2SI.

Properties
final energy	-18.68	eV/cell
density	5.71	g cm⁻³

Cell lengths 5.466, 4.580, 5.466 Å; angles 90.00, 90.00, 90.00 degrees
Fractional positions:
I: 0.500 0.500 0.500
Zn: 0.000 0.000 0.500
Zn: 0.500 0.000 0.000
S: 0.000 0.500 0.000
Ta: 0.000 0.000 0.000

***

No. 11
The following is a DFT calculation (PBE) of an optimized crystal structure of Tb2SI.

Properties
polymorph energy (0 for the lowest one)	10	meV/atom
density	7.55	g cm⁻³

Cell lengths 4.058, 4.058, 7.714 Å; angles 74.75, 74.75, 60.00 degrees
Fractional positions:
I: 0.500 0.500 0.500
S: 0.000 0.000 0.000
Tb: 0.727 0.727 0.820
Tb: 0.273 0.273 0.180

***

No. 12
The following is a DFT calculation (PBE) of an optimized crystal structure of Tb2SI.

Properties
polymorph energy (0 for the lowest one)	0	meV/atom
density	7.71	g cm⁻³

Cell lengths 3.910, 3.910, 8.080 Å; angles 76.00, 76.00, 60.00 degrees
Fractional positions:
Tb: 0.066 0.066 0.803
Tb: 0.269 0.269 0.194
S: 0.667 0.667 0.000
I: 0.499 0.499 0.503

***

No. 13
The following is a DFT calculation (PBE) of an optimized crystal structure of TbS6I2.

Properties
final energy	-36.21	eV/cell
density	3.18	g cm⁻³

Cell lengths 4.419, 9.211, 8.777 Å; angles 117.43, 92.66, 92.91 degrees
Site moments in Bohr magnetons follow the coordinates.
Fractional positions:
Tb: 0.000 0.000 0.000  0.04
S: 0.907 0.533 0.289  0.17
S: 0.093 0.467 0.711  0.17
S: 0.872 0.704 0.703  0.08
S: 0.915 0.279 0.495  0.00
S: 0.085 0.721 0.505  0.00
S: 0.128 0.296 0.297  0.08
I: 0.504 0.862 0.139  0.01
I: 0.496 0.138 0.861  0.01

***

No. 14
The following is a DFT calculation (PBE) of an optimized crystal structure of TbSI.

Properties
final energy	-31.02	eV/cell
density	4.59	g cm⁻³

Cell lengths 4.220, 7.401, 7.985 Å; angles 106.33, 105.32, 90.00 degrees
Fractional positions:
Tb: 0.246 0.782 0.492
Tb: 0.754 0.218 0.508
S: 0.657 0.856 0.315
S: 0.343 0.144 0.685
I: 0.874 0.654 0.748
I: 0.126 0.346 0.252